PBE PuNbPb, optimized geometry; theoretical density = 12.56 Mg/m³; ΔE_f = 0.258 eV per atom; raw total energy = -9.11 eV per atom; volume = 288 Å³ per cell
1.0
15.735 0.000 0.000
0.000 3.169 0.000
-0.239 0.000 5.773
Pu Nb Pb
4 4 4
Direct
0.076 0.000 0.357
0.424 0.500 0.643
0.576 0.500 0.357
0.924 0.000 0.643
0.079 0.500 0.895
0.421 0.000 0.105
0.579 0.000 0.895
0.921 0.500 0.105
0.241 0.000 0.755
0.259 0.500 0.245
0.741 0.500 0.755
0.759 0.000 0.245